[1]
# NaTlSn | Alexandria via LeMat-Bulk | PBE | relaxed
data_NaTlSn
_space_group_name_H-M_alt 'P 1'
_space_group_IT_number 1
_cell_length_a 4.693
_cell_length_b 4.985
_cell_length_c 7.582
_cell_angle_alpha 108.85
_cell_angle_beta 90.43
_cell_angle_gamma 90.00
loop_
_space_group_symop_operation_xyz
'x,y,z'
loop_
_atom_site_label
_atom_site_fract_x
_atom_site_fract_y
_atom_site_fract_z
_atom_site_occupancy
Na1 0.249 0.416 0.331 1
Na2 0.751 0.584 0.669 1
Tl1 0.250 0.749 0.998 1
Tl2 0.750 0.251 0.002 1
Sn1 0.252 0.072 0.643 1
Sn2 0.748 0.928 0.357 1
# Energy relative to the elements: -116 meV per atom
# Calculated total energy: -2.6786 eV/atom
# Space group: P-1

---

[2]
# PaSnI6 | Alexandria via LeMat-Bulk | PBE | relaxed
data_PaSnI6
_space_group_name_H-M_alt 'P 1'
_space_group_IT_number 1
_cell_length_a 7.783
_cell_length_b 7.787
_cell_length_c 8.357
_cell_angle_alpha 89.99
_cell_angle_beta 62.25
_cell_angle_gamma 60.05
loop_
_space_group_symop_operation_xyz
'x,y,z'
loop_
_atom_site_label
_atom_site_fract_x
_atom_site_fract_y
_atom_site_fract_z
_atom_site_occupancy
Pa1 0.000 0.000 0.000 1
Sn1 0.000 0.500 0.500 1
I1 0.159 0.079 0.246 1
I2 0.167 0.238 0.754 1
I3 0.484 0.595 0.755 1
I4 0.516 0.405 0.245 1
I5 0.833 0.762 0.246 1
I6 0.841 0.921 0.754 1
# Calculated total energy: -3.6031 eV/atom
# Space group: P-1
# Energy relative to the elements, uncorrected: -6.03 eV per formula unit

---

[3]
# LiSi2BS6 | Alexandria via LeMat-Bulk | PBE | relaxed
data_LiSi2BS6
_space_group_name_H-M_alt 'P 1'
_space_group_IT_number 1
_cell_length_a 8.433
_cell_length_b 8.433
_cell_length_c 6.439
_cell_angle_alpha 107.82
_cell_angle_beta 107.82
_cell_angle_gamma 87.19
loop_
_space_group_symop_operation_xyz
'x,y,z'
loop_
_atom_site_label
_atom_site_fract_x
_atom_site_fract_y
_atom_site_fract_z
_atom_site_occupancy
Li1 0.109 0.891 0.750 1
Li2 0.891 0.109 0.250 1
Si1 0.209 0.382 0.851 1
Si2 0.382 0.209 0.351 1
Si3 0.618 0.791 0.649 1
Si4 0.791 0.618 0.149 1
B1 0.196 0.804 0.250 1
B2 0.804 0.196 0.750 1
S1 0.009 0.194 0.668 1
S2 0.171 0.646 0.951 1
S3 0.194 0.009 0.168 1
S4 0.296 0.410 0.577 1
S5 0.354 0.829 0.549 1
S6 0.410 0.296 0.077 1
S7 0.590 0.704 0.923 1
S8 0.646 0.171 0.451 1
S9 0.704 0.590 0.423 1
S10 0.806 0.991 0.832 1
S11 0.829 0.354 0.049 1
S12 0.991 0.806 0.332 1
# Calculated total energy: -4.9590 eV/atom
# Space group: C2/c
# Energy relative to the elements, uncorrected: -5.39 eV per formula unit

---

[4]
# TmMgPd4 | Alexandria via LeMat-Bulk | PBE | relaxed
data_TmMgPd4
_space_group_name_H-M_alt 'P 1'
_space_group_IT_number 1
_cell_length_a 9.525
_cell_length_b 3.734
_cell_length_c 6.170
_cell_angle_alpha 90.00
_cell_angle_beta 109.68
_cell_angle_gamma 90.00
loop_
_space_group_symop_operation_xyz
'x,y,z'
loop_
_atom_site_label
_atom_site_fract_x
_atom_site_fract_y
_atom_site_fract_z
_atom_site_occupancy
Tm1 0.000 0.000 0.000 1
Tm2 0.500 0.500 0.000 1
Mg1 0.000 0.000 0.500 1
Mg2 0.500 0.500 0.500 1
Pd1 0.161 0.500 0.342 1
Pd2 0.167 0.500 0.819 1
Pd3 0.333 0.000 0.181 1
Pd4 0.339 0.000 0.658 1
Pd5 0.661 0.000 0.342 1
Pd6 0.667 0.000 0.819 1
Pd7 0.833 0.500 0.181 1
Pd8 0.839 0.500 0.658 1
# Energy relative to the elements: -697 meV per atom
# Calculated total energy: -5.1694 eV/atom
# Space group: C2/m